No. 1
A plane-wave DFT calculation with PBE was carried out for crystalline Zr2Pt3Au3 at its relaxed geometry.

Unit cell a=5.2712 b=5.2712 c=5.2712 alpha=85.18 beta=85.18 gamma=94.82
Last column: nearest neighbours and their distance in Å.
Element x y z (fractional)
Zr1 0.2792 0.2792 0.7208  6 Pt 2.91-2.93, 6 Au 2.98-3.04
Zr2 0.7208 0.7208 0.2792  6 Pt 2.91-2.93, 6 Au 2.98-3.04
Pt1 0.2063 0.7937 0.5000  2 Au 2.66, 2 Pt 2.83, 4 Zr 2.91-2.93
Pt2 0.5000 0.2063 0.2063  2 Au 2.66, 2 Pt 2.83, 4 Zr 2.91-2.93
Pt3 0.7937 0.5000 0.7937  2 Au 2.66, 2 Pt 2.83, 4 Zr 2.91-2.93
Au1 0.2531 0.7469 0.0000  2 Pt 2.66, 2 Au 2.98
Au2 0.0000 0.2531 0.2531  2 Pt 2.66, 2 Au 2.98
Au3 0.7469 0.0000 0.7469  2 Pt 2.66, 2 Au 2.98

Computed properties:
ΔE_f: -0.7140 eV per atom
Calculated density: 15.6 Mg/m³
Fermi-level density of states: 0.5573 states/eV per atom
Total magnetization: 0.00 μB per cell

No. 2
A plane-wave DFT calculation with PBE was carried out for crystalline Zr4PtAu at its relaxed geometry.

Unit cell a=5.4982 b=6.7699 c=6.7699 alpha=90.00 beta=90.00 gamma=90.00
Last column: nearest neighbours and their distance in Å.
Element x y z (fractional)
Zr1 0.0000 0.1611 0.6518  2 Pt 2.87, 2 Au 2.94, 1 Zr 3.00
Zr2 0.0000 0.8389 0.3482  2 Pt 2.87, 2 Au 2.94, 1 Zr 3.00
Zr3 0.0000 0.3482 0.1611  2 Pt 2.87, 2 Au 2.94, 1 Zr 3.00
Zr4 0.0000 0.6518 0.8389  2 Pt 2.87, 2 Au 2.94, 1 Zr 3.00
Zr5 0.5000 0.8389 0.6518  2 Pt 2.87, 2 Au 2.94, 1 Zr 3.00
Zr6 0.5000 0.1611 0.3482  2 Pt 2.87, 2 Au 2.94, 1 Zr 3.00
Zr7 0.5000 0.6518 0.1611  2 Pt 2.87, 2 Au 2.94, 1 Zr 3.00
Zr8 0.5000 0.3482 0.8389  2 Pt 2.87, 2 Au 2.94, 1 Zr 3.00
Pt1 0.2500 0.5000 0.5000  2 Pt 2.75, 8 Zr 2.87
Pt2 0.7500 0.5000 0.5000  2 Pt 2.75, 8 Zr 2.87
Au1 0.2500 0.0000 0.0000  2 Au 2.75, 8 Zr 2.94
Au2 0.7500 0.0000 0.0000  2 Au 2.75, 8 Zr 2.94

Computed properties:
ΔE_f: -0.5583 eV per atom
Calculated density: 10.0 Mg/m³
Distance to the lowest polymorph of the same formula: 0.000 eV/atom
Fermi-level density of states: 1.0350 states/eV per atom
Total magnetization: 0.00 μB per cell

No. 3
A plane-wave DFT calculation with PBE was carried out for crystalline ZrPt2Au at its relaxed geometry.

Unit cell a=3.5477 b=3.6093 c=6.6483 alpha=57.12 beta=90.00 gamma=90.00
Last column: nearest neighbours and their distance in Å.
Element x y z (fractional)
Au1 0.5000 0.7393 0.7607  6 Pt 2.77-2.86, 4 Zr 2.96
Pt1 0.0000 0.0021 0.9979  2 Zr 2.72-2.87, 4 Au 2.86, 4 Pt 2.91
Pt2 0.5000 0.2431 0.2568  2 Au 2.77-2.81, 4 Zr 2.83, 4 Pt 2.91
Zr1 0.0000 0.5154 0.4846  6 Pt 2.72-2.87, 4 Au 2.96

Computed properties:
ΔE_f: -0.6635 eV per atom
Calculated density: 15.8 Mg/m³
Fermi-level density of states: 0.2969 states/eV per atom
Total magnetization: 0.00 μB per cell

No. 4
A plane-wave DFT calculation with PBE was carried out for crystalline Zr2Pt2Au at its relaxed geometry.

Unit cell a=4.6790 b=4.6790 c=6.0039 alpha=67.07 beta=67.07 gamma=90.00
Last column: nearest neighbours and their distance in Å.
Element x y z (fractional)
Au1 0.0000 0.0000 0.0000  8 Zr 3.43, 10 Pt 3.54-3.76
Zr1 0.7500 0.2500 0.5000  4 Pt 2.65
Zr2 0.2500 0.7500 0.5000  4 Pt 2.65
Pt1 0.3753 0.3753 0.2495  1 Pt 2.50, 4 Zr 2.65
Pt2 0.6247 0.6247 0.7505  1 Pt 2.50, 4 Zr 2.65

Computed properties:
ΔE_f: -0.5796 eV per atom
Calculated density: 11.7 Mg/m³
Distance to the lowest polymorph of the same formula: 0.323 eV/atom
Fermi-level density of states: 0.6803 states/eV per atom
Total magnetization: 0.00 μB per cell

No. 5
A plane-wave DFT calculation with PBE was carried out for crystalline ZrPt4Au at its relaxed geometry.

Unit cell a=5.2903 b=5.2903 c=5.2903 alpha=60.00 beta=60.00 gamma=60.00
Last column: nearest neighbours and their distance in Å.
Element x y z (fractional)
Zr1 0.7500 0.7500 0.7500  12 Pt 3.10, 4 Au 3.24
Pt1 0.8759 0.3747 0.3747  6 Pt 2.64-2.65
Pt2 0.3747 0.3747 0.8759  6 Pt 2.64-2.65
Pt3 0.3747 0.8759 0.3747  6 Pt 2.64-2.65
Pt4 0.3747 0.3747 0.3747  6 Pt 2.64-2.65
Au1 0.0000 0.0000 0.0000  12 Pt 3.10, 4 Zr 3.24

Computed properties:
ΔE_f: -0.5779 eV per atom
Calculated density: 16.9 Mg/m³
Fermi-level density of states: 0.4821 states/eV per atom
Total magnetization: 0.00 μB per cell

No. 6
A plane-wave DFT calculation with PBE was carried out for crystalline Zr2Pt2Au at its relaxed geometry.

Unit cell a=7.5605 b=7.5605 c=3.3628 alpha=90.00 beta=90.00 gamma=90.00
Last column: nearest neighbours and their distance in Å.
Element x y z (fractional)
Au1 0.0000 0.0000 0.0000  4 Pt 2.96, 8 Zr 3.27
Au2 0.5000 0.5000 0.0000  4 Pt 2.96, 8 Zr 3.27
Zr1 0.1703 0.6703 0.5000  6 Pt 2.72-2.84
Zr2 0.6703 0.8297 0.5000  6 Pt 2.72-2.84
Zr3 0.8297 0.3297 0.5000  6 Pt 2.72-2.84
Zr4 0.3297 0.1703 0.5000  6 Pt 2.72-2.84
Pt1 0.3698 0.8698 0.0000  6 Zr 2.72-2.84, 1 Pt 2.78, 2 Au 2.96
Pt2 0.8698 0.6302 0.0000  6 Zr 2.72-2.84, 1 Pt 2.78, 2 Au 2.96
Pt3 0.6302 0.1302 0.0000  6 Zr 2.72-2.84, 1 Pt 2.78, 2 Au 2.96
Pt4 0.1302 0.3698 0.0000  6 Zr 2.72-2.84, 1 Pt 2.78, 2 Au 2.96

Computed properties:
ΔE_f: -0.9030 eV per atom
Calculated density: 13.3 Mg/m³
Distance to the lowest polymorph of the same formula: 0.000 eV/atom
Fermi-level density of states: 0.8271 states/eV per atom
Total magnetization: 0.00 μB per cell

No. 7
A plane-wave DFT calculation with PBE was carried out for crystalline ZrPt2Au at its relaxed geometry.

Unit cell a=4.6468 b=4.6468 c=4.6468 alpha=60.00 beta=60.00 gamma=60.00
Last column: nearest neighbours and their distance in Å.
Element x y z (fractional)
Au1 0.5000 0.5000 0.5000  4 Zr 2.85, 4 Pt 2.85
Pt1 0.0000 0.0000 0.0000  4 Pt 2.85, 4 Zr 2.85
Pt2 0.7500 0.7500 0.7500  4 Pt 2.85, 4 Au 2.85
Zr1 0.2500 0.2500 0.2500  4 Pt 2.85, 4 Au 2.85

Computed properties:
ΔE_f: -0.6006 eV per atom
Calculated density: 15.9 Mg/m³
Fermi-level density of states: 0.9089 states/eV per atom
Total magnetization: 0.00 μB per cell

No. 8
A plane-wave DFT calculation with PBE was carried out for crystalline PuAu12 at its relaxed geometry.

Unit cell a=5.6556 b=7.3032 c=7.3032 alpha=81.38 beta=67.22 gamma=67.22
Last column: nearest neighbours and their distance in Å.
Element x y z (fractional)
Pu1 0.0000 0.0000 0.0000  20 Au 3.30-3.65
Au1 0.5000 0.0000 0.5000  10 Au 2.79-2.92
Au2 0.0000 0.0000 0.5000  10 Au 2.79-2.92
Au3 0.5000 0.5000 0.0000  10 Au 2.79-2.92
Au4 0.0000 0.5000 0.0000  10 Au 2.79-2.92
Au5 0.0000 0.6531 0.3469  9 Au 2.92-3.10
Au6 0.0000 0.3469 0.6531  9 Au 2.92-3.10
Au7 0.6531 0.3469 0.3469  9 Au 2.92-3.10
Au8 0.3469 0.6531 0.6531  9 Au 2.92-3.10
Au9 0.5000 0.2138 0.7862  10 Au 2.79-3.10
Au10 0.5000 0.7862 0.2138  10 Au 2.79-3.10
Au11 0.7138 0.7862 0.7862  10 Au 2.79-3.10
Au12 0.2862 0.2138 0.2138  10 Au 2.79-3.10

Computed properties:
ΔE_f: -0.0886 eV per atom
Calculated density: 16.9 Mg/m³
Distance to the lowest polymorph of the same formula: 0.000 eV/atom
Fermi-level density of states: 1.6482 states/eV per atom
Total magnetization: 5.68 μB per cell

No. 9
A plane-wave DFT calculation with PBE was carried out for crystalline Pu3Au4 at its relaxed geometry.

Unit cell a=5.0623 b=5.0623 c=8.7768 alpha=73.24 beta=73.24 gamma=60.00
Last column: nearest neighbours and their distance in Å.
Element x y z (fractional)
Pu1 0.2450 0.2450 0.2650  8 Au 3.02-3.20
Pu2 0.7550 0.7550 0.7350  8 Au 3.02-3.20
Pu3 0.0000 0.0000 0.0000  8 Au 3.06-3.09
Au1 0.6262 0.6262 0.1214  7 Pu 3.09-3.20
Au2 0.8768 0.8768 0.3697  5 Pu 3.02-3.06
Au3 0.1232 0.1232 0.6303  5 Pu 3.02-3.06
Au4 0.3738 0.3738 0.8786  7 Pu 3.09-3.20

Computed properties:
ΔE_f: -0.2561 eV per atom
Calculated density: 13.7 Mg/m³
Fermi-level density of states: 5.0659 states/eV per atom
Total magnetization: 17.63 μB per cell

No. 10
A plane-wave DFT calculation with PBE was carried out for crystalline Pu4Au3 at its relaxed geometry.

Unit cell a=5.0418 b=5.0418 c=8.9839 alpha=73.70 beta=73.70 gamma=60.00
Last column: nearest neighbours and their distance in Å.
Element x y z (fractional)
Pu1 0.6272 0.6272 0.1185  7 Au 3.08-3.24
Pu2 0.8739 0.8739 0.3784  5 Au 3.05-3.22
Pu3 0.1261 0.1261 0.6216  5 Au 3.05-3.22
Pu4 0.3728 0.3728 0.8815  7 Au 3.08-3.24
Au1 0.2456 0.2456 0.2632  8 Pu 3.05-3.24
Au2 0.7544 0.7544 0.7368  8 Pu 3.05-3.24
Au3 0.0000 0.0000 0.0000  8 Pu 3.08-3.22

Computed properties:
ΔE_f: -0.1891 eV per atom
Calculated density: 13.9 Mg/m³
Fermi-level density of states: 6.1821 states/eV per atom
Total magnetization: 0.31 μB per cell